Entry 1:
Computed, not measured: an optimized crystal structure of CaNdDyLu at the PBE-GGA level of DFT.

The space group is F-43m (No. 216) and the conventional cell measures 8.133, 8.133 and 8.133 Å, with angles of 90.00, 90.00 and 90.00 degrees. Symmetry generates all atoms from Ca at (0.000, 0.000, 0.000), Nd at (0.250, 0.250, 0.750), Dy at (0.250, 0.250, 0.250) and Lu at (0.000, 0.000, 0.500).

Its raw total energy is -3.840 eV/atom.

***

Entry 2:
Computed, not measured: an optimized crystal structure of SmDyMg2 at the PBE-GGA level of DFT.

The space group is Fm-3m (No. 225) and the conventional cell measures 7.631, 7.631 and 7.631 Å, with angles of 90.00, 90.00 and 90.00 degrees. Symmetry generates all atoms from Sm at (0.000, 0.000, 0.000), Dy at (0.000, 0.000, 0.500) and Mg at (0.250, 0.250, 0.250).

The calculation puts the excess energy over the best structure of this formula in the dataset at 0.0000 eV per atom.

***

Entry 3:
Computed, not measured: an optimized crystal structure of TeMoPb2 at the PBE-GGA level of DFT.

The space group is P2/m (No. 10) and the conventional cell measures 5.127, 3.520 and 6.898 Å, with angles of 90.00, 110.38 and 90.00 degrees. Symmetry generates all atoms from Te at (0.000, 0.000, 0.000), Mo at (0.500, 0.000, 0.000) and Pb at (0.319, 0.500, 0.646).

The raw formation energy is 386 meV per atom.

***

Total magnetic moment across the listed records, respectively: 0.000; 0.000; 0.000 μB per atom.